# 1
Density functional theory data (PBE) for La2Pm3PrTe6 after structural relaxation.

a = 10.0867 Å, b = 10.0867 Å, c = 9.0635 Å
α = 102.90°, β = 102.90°, γ = 25.80°
Atoms (fractional coordinates):
La 0.1656 0.1656 0.3311
La 0.8344 0.8344 0.6689
Pm 0.1663 0.1663 0.8337
Pm 0.5000 0.5000 0.5000
Pm 0.8337 0.8337 0.1663
Pr 0.5000 0.5000 0.0000
Te 0.0019 0.0019 0.7474
Te 0.3322 0.3322 0.9215
Te 0.3346 0.3346 0.4130
Te 0.6654 0.6654 0.5870
Te 0.6678 0.6678 0.0785
Te 0.9981 0.9981 0.2526

Calculated values
**Total energy**: -5.457 eV per atom
**Theoretical density**: 6.88 g/cm³
**ΔE_f (raw)**: -1.48 eV/atom
**Total magnetization**: 0.0 μB per cell
**Symmetry**: C2/m, No. 12


# 2
Density functional theory data (PBE) for Nb2HW after structural relaxation.

a = 3.0912 Å, b = 3.0912 Å, c = 6.0776 Å
α = 90.00°, β = 90.00°, γ = 90.00°
Atoms (fractional coordinates):
Nb 0.0000 0.0000 0.2231
Nb 0.0000 0.0000 0.7769
H 0.5000 0.5000 0.0000
W 0.5000 0.5000 0.5000

Calculated values
**Total energy**: -8.647 eV per atom
**Theoretical density**: 10.60 g/cm³
**Total magnetization**: 0.0 μB per cell
**Symmetry**: P4/mmm, No. 123


# 3
Density functional theory data (PBE) for Rb2BaCaF6 after structural relaxation.

a = 6.6088 Å, b = 6.7548 Å, c = 11.4674 Å
α = 90.00°, β = 124.85°, γ = 90.00°
Atoms (fractional coordinates):
Rb 0.2381 0.0420 0.2507
Rb 0.2381 0.4580 0.7507
Rb 0.7619 0.5420 0.2493
Rb 0.7619 0.9580 0.7493
Ba 0.5000 0.0000 0.0000
Ba 0.5000 0.5000 0.5000
Ca 0.0000 0.0000 0.5000
Ca 0.0000 0.5000 0.0000
F 0.1366 0.2254 0.9467
F 0.1366 0.2746 0.4467
F 0.2296 0.6934 0.9534
F 0.2296 0.8066 0.4534
F 0.3255 0.0376 0.7327
F 0.3255 0.4624 0.2327
F 0.6745 0.5376 0.7673
F 0.6745 0.9624 0.2673
F 0.7704 0.1934 0.5466
F 0.7704 0.3066 0.0466
F 0.8634 0.7254 0.5533
F 0.8634 0.7746 0.0533

Calculated values
**Total energy**: -5.104 eV per atom
**Theoretical density**: 3.66 g/cm³
**ΔE_f (raw)**: -3.39 eV/atom
**Total magnetization**: 0.4 μB per cell
**Symmetry**: P2_1/c, No. 14